The following is a GGA+U calculation of crystalline NaMnO2 at its relaxed geometry, from Alexandria.

Cell: 5.502 5.502 5.502 Å, 90.00 90.00 90.00°
Space group Fm-3m (No. 225)
One atom of each set of equivalent atoms:
Na1 0.000 0.000 0.000 [4 per cell]
Mn1 0.000 0.000 0.500 [4 per cell]
O1 0.250 0.250 0.250 [8 per cell]

Summary:
ρ: 4.38 g cm⁻³
Calculated total energy: -5.67 eV/atom
Magnetic moment: 16.000 Bohr magnetons per cell
Density of states at the Fermi level: 22.10 states/eV/cell

---

The following is a GGA+U calculation of crystalline NaMn3O6 at its relaxed geometry, from Alexandria.

Cell: 8.440 8.457 26.420 Å, 90.00 90.00 90.00°
Space group Fddd (No. 70, origin choice 2)
One atom of each set of equivalent atoms:
Na1 0.125 0.125 0.291 [16 per cell]
Mn1 0.000 0.000 0.500 [16 per cell]
Mn2 0.005 0.004 0.837 [32 per cell]
O1 0.017 0.017 0.762 [32 per cell]
O2 0.019 0.019 0.090 [32 per cell]
O3 0.020 0.021 0.414 [32 per cell]

Summary:
ρ: 4.00 g cm⁻³
Calculated total energy: -6.82 eV/atom
Magnetic moment: 160.000 Bohr magnetons per cell

---

The following is a GGA+U calculation of crystalline NaMn2O4 at its relaxed geometry, from Alexandria.

Cell: 3.016 9.892 9.825 Å, 90.00 90.00 90.00°
Space group Cmcm (No. 63)
One atom of each set of equivalent atoms:
Na1 0.000 0.107 0.250 [4 per cell]
Mn1 0.000 0.363 0.072 [8 per cell]
O1 0.000 0.000 0.000 [4 per cell]
O2 0.000 0.265 0.604 [8 per cell]
O3 0.000 0.435 0.250 [4 per cell]

Summary:
ρ: 4.46 g cm⁻³
Calculated total energy: -6.65 eV/atom
Magnetic moment: 28.000 Bohr magnetons per cell
Density of states at the Fermi level: 4.75 states/eV/cell